1.
Below is a PBEsol-optimized structure of Ta2ReAs, with properties calculated at the meta-GGA SCAN level.

Calculated values
Crystal system   orthorhombic
Total magnetization   0.00 μB/f.u.
E_tot   -56.252 eV per atom

Cell: 5.6277 7.2585 3.1523 Å, 90.00 90.00 90.00°
Last column: nearest neighbours and their distance in Å.
Space group Cmmm (No. 65)
Symmetry-distinct sites (fractional):
Ta 0.2500 0.2500 0.0000 (multiplicity 4)  4 Re 2.79, 4 As 2.79, 2 Ta 2.81
Re 0.0000 0.0000 0.5000 (multiplicity 2)  8 Ta 2.79, 2 As 2.81
As 0.0000 0.5000 0.5000 (multiplicity 2)  8 Ta 2.79, 2 Re 2.81

---

2.
Below is a PBEsol-optimized structure of Ta2ReAs, with properties calculated at the meta-GGA SCAN level.

Calculated values
Crystal system   tetragonal
Total magnetization   0.00 μB/f.u.
E_tot   -56.131 eV per atom

Cell: 4.4639 4.4639 3.2403 Å, 90.00 90.00 90.00°
Last column: nearest neighbours and their distance in Å.
Space group P4/mmm (No. 123)
Symmetry-distinct sites (fractional):
Ta 0.0000 0.5000 0.0000 (multiplicity 2)  4 As 2.76, 4 Re 2.76
Re 0.0000 0.0000 0.5000 (multiplicity 1)  8 Ta 2.76
As 0.5000 0.5000 0.5000 (multiplicity 1)  8 Ta 2.76

---

3.
Below is a PBEsol-optimized structure of TaReAs, with properties calculated at the meta-GGA SCAN level.

Calculated values
Polymorph energy (0 for the lowest one)   0.000 eV/atom
Crystal system   tetragonal
Total magnetization   0.00 μB/f.u.
E_tot   -52.614 eV per atom

Cell: 3.0139 3.0139 10.2064 Å, 90.00 90.00 90.00°
Last column: nearest neighbours and their distance in Å.
Space group I4mm (No. 107)
Symmetry-distinct sites (fractional):
Ta 0.0000 0.0000 0.0000 (multiplicity 2)  4 As 2.81, 4 Re 2.85, 4 Ta 3.01
Re 0.0000 0.0000 0.3149 (multiplicity 2)  4 As 2.54
As 0.0000 0.0000 0.6800 (multiplicity 2)  4 Re 2.54, 4 Ta 2.81

---

4.
Below is a PBEsol-optimized structure of ReTc2As, with properties calculated at the meta-GGA SCAN level.

Calculated values
Crystal system   tetragonal
Total magnetization   0.00 μB/f.u.
E_tot   -40.424 eV per atom

Cell: 2.9311 2.9311 6.5359 Å, 90.00 90.00 90.00°
Last column: nearest neighbours and their distance in Å.
Space group P4/mmm (No. 123)
Symmetry-distinct sites (fractional):
Re 0.0000 0.0000 0.0000 (multiplicity 1)  8 Tc 2.70, 4 Re 2.93
Tc 0.5000 0.5000 0.2645 (multiplicity 2)  4 As 2.58, 4 Re 2.70
As 0.0000 0.0000 0.5000 (multiplicity 1)  8 Tc 2.58

---

5.
Below is a PBEsol-optimized structure of ReTcAs, with properties calculated at the meta-GGA SCAN level.

Calculated values
Polymorph energy (0 for the lowest one)   0.000 eV/atom
Crystal system   hexagonal
Total magnetization   0.00 μB/f.u.
E_tot   -42.000 eV per atom

Cell: 4.2168 4.2168 2.8170 Å, 90.00 90.00 120.00°
Last column: nearest neighbours and their distance in Å.
Space group P-6m2 (No. 187)
Symmetry-distinct sites (fractional):
Re 0.0000 0.0000 0.0000 (multiplicity 1)  3 As 2.43
Tc 0.3333 0.6667 0.5000 (multiplicity 1)  6 Re 2.81, 6 As 2.81, 2 Tc 2.82
As 0.6667 0.3333 0.0000 (multiplicity 1)  3 Re 2.43

---

6.
Below is a PBEsol-optimized structure of ReTcAs2, with properties calculated at the meta-GGA SCAN level.

Calculated values
Crystal system   orthorhombic
Total magnetization   0.00 μB/f.u.
E_tot   -36.376 eV per atom

Cell: 3.0313 4.1199 9.4776 Å, 90.00 90.00 90.00°
Last column: nearest neighbours and their distance in Å.
Space group Imm2 (No. 44)
Symmetry-distinct sites (fractional):
Re 0.0000 0.0000 0.0000 (multiplicity 2)  6 As 2.56-2.66
Tc 0.0000 0.5000 0.7661 (multiplicity 2)  6 As 2.56-2.64
As 0.0000 0.0000 0.4942 (multiplicity 2)  4 Re 2.56, 2 Tc 2.64
As 0.0000 0.5000 0.2690 (multiplicity 2)  4 Tc 2.56, 2 Re 2.66

---

Copy entry 2 word for word.
Below is a PBEsol-optimized structure of Ta2ReAs, with properties calculated at the meta-GGA SCAN level.

Calculated values
Crystal system   tetragonal
Total magnetization   0.00 μB/f.u.
E_tot   -56.131 eV per atom

Cell: 4.4639 4.4639 3.2403 Å, 90.00 90.00 90.00°
Last column: nearest neighbours and their distance in Å.
Space group P4/mmm (No. 123)
Symmetry-distinct sites (fractional):
Ta 0.0000 0.5000 0.0000 (multiplicity 2)  4 As 2.76, 4 Re 2.76
Re 0.0000 0.0000 0.5000 (multiplicity 1)  8 Ta 2.76
As 0.5000 0.5000 0.5000 (multiplicity 1)  8 Ta 2.76